## LiMgOs2 (PBE)

Data for a relaxed LiMgOs2 crystal.

Unit cell a=5.0312 b=8.7601 c=2.6975 alpha=90.00 beta=90.00 gamma=90.00
With the nearest neighbours (Å) after each atom.
Space group Cmmm (No. 65)
One atom of each set of equivalent atoms:
Li 0.0000 0.0000 0.0000 (multiplicity 2)  2 Mg 2.52, 2 Li 2.70
Mg 0.0000 0.5000 0.0000 (multiplicity 2)  2 Li 2.52, 2 Mg 2.70
Os 0.2500 0.2500 0.5000 (multiplicity 4)  4 Os 2.52-2.70

Properties
total magnetic moment = 0.000 μB/atom
E_tot = -6.143 eV per atom
D(E_F) = 2.5 states/eV/f.u.